! LiNi2Mo2 | Alexandria via LeMat-Bulk | PBE | optimized geometry; values from VASP
! Crystal system: tetragonal
! DFT formation energy (eV per atom): 0.642
! Offset from the most stable computed form (meV per atom): 461.5
! E_tot (eV per cell): -31.93
&SYSTEM
  ibrav = 0, nat = 5, ntyp = 3
/
ATOMIC_SPECIES
Ni 58.69 Ni.upf
Mo 95.94 Mo.upf
Li 6.94 Li.upf
CELL_PARAMETERS angstrom
-1.571 -1.461 -2.797
3.154 -0.619 -1.447
0.974 -6.328 0.537
ATOMIC_POSITIONS crystal
Ni 0.250 0.750 0.500
Ni 0.750 0.250 0.500
Mo 0.403 0.403 0.194
Mo 0.597 0.597 0.806
Li 0.000 0.000 0.000